Record 1
Dy2PtF | GGA-PBE | optimized geometry

The structure belongs to space group R-3m (No. 166, hexagonal axes); the cell edges are 4.0370, 4.0370 and 17.8178 Å and the angles 90.00°, 90.00° and 120.00°. The asymmetric unit holds Dy at (0.0000, 0.0000, 0.2463), Pt at (0.0000, 0.0000, 0.0000) and F at (0.0000, 0.0000, 0.5000).

The value obtained for the formation energy (no corrections) is -1798 meV per atom.

---

Record 2
Pu5CoRu4 | GGA-PBE | optimized geometry

The structure belongs to space group P4/mmm (No. 123); the cell edges are 3.278, 3.278 and 17.493 Å and the angles 90.00°, 90.00° and 90.00°. The asymmetric unit holds Pu at (0.000, 0.000, 0.000), Pu at (0.000, 0.000, 0.201), Pu at (0.000, 0.000, 0.405), Co at (0.500, 0.500, 0.500), Ru at (0.500, 0.500, 0.087) and Ru at (0.500, 0.500, 0.304).

For the formation energy, the calculation gives 0.024 eV per atom.

---

Record 3
SnHgAu2 | GGA-PBE | optimized geometry

The structure belongs to space group Pmc2_1 (No. 26); the cell edges are 3.674, 6.491 and 7.487 Å and the angles 90.00°, 90.00° and 90.00°. The asymmetric unit holds Sn at (0.000, 0.179, 0.000), Hg at (0.500, 0.332, 0.373), Au at (0.000, 0.425, 0.664) and Au at (0.500, 0.075, 0.698).

The energy above the most stable polymorph in this dataset is 0.04 eV per formula unit. For the formation energy, the calculation gives -0.046 eV per atom.

---

Record 4
HfIn2BiB | GGA-PBE | optimized geometry

The structure belongs to space group P4/mmm (No. 123); the cell edges are 4.670, 4.670 and 5.321 Å and the angles 90.00°, 90.00° and 90.00°. The asymmetric unit holds Hf at (0.000, 0.000, 0.000), In at (0.000, 0.500, 0.500), Bi at (0.500, 0.500, 0.000) and B at (0.500, 0.500, 0.500).

For the formation energy, the calculation gives 0.779 eV per atom.

---

Record 5
BaMgCd | GGA-PBE | optimized geometry

The structure belongs to space group P-6m2 (No. 187); the cell edges are 5.2692, 5.2692 and 4.3926 Å and the angles 90.00°, 90.00° and 120.00°. The asymmetric unit holds Ba at (0.0000, 0.0000, 0.0000), Mg at (0.3333, 0.6667, 0.5000) and Cd at (0.6667, 0.3333, 0.5000).

For the formation energy, the calculation gives -0.186 eV per atom.

---

Record 6
NbNiAs2Se | GGA-PBE | optimized geometry

The structure belongs to space group P4/mmm (No. 123); the cell edges are 5.001, 5.001 and 4.949 Å and the angles 90.00°, 90.00° and 90.00°. The asymmetric unit holds Nb at (0.000, 0.000, 0.000), Ni at (0.500, 0.500, 0.500), As at (0.000, 0.500, 0.000) and Se at (0.000, 0.000, 0.500).

The energy above the most stable polymorph in this dataset is 0.76 eV per formula unit. The value obtained for the formation energy (no corrections) is 679 meV per atom.

---

Record 7
Sc3Si3Ni | GGA-PBE | optimized geometry

The structure belongs to space group C2/m (No. 12); the cell edges are 9.842, 3.983 and 12.804 Å and the angles 90.00°, 110.22° and 90.00°. The asymmetric unit holds Sc at (0.024, 0.000, 0.379), Sc at (0.101, 0.000, 0.921), Sc at (0.242, 0.000, 0.226), Si at (0.039, 0.500, 0.237), Si at (0.118, 0.500, 0.076), Si at (0.132, 0.500, 0.546) and Ni at (0.243, 0.500, 0.405).

The energy above the most stable polymorph in this dataset is 0.00 eV per formula unit. The value obtained for the formation energy (no corrections) is -864 meV per atom.

---

Record 8
TaWAu2 | GGA-PBE | optimized geometry

The structure belongs to space group Fm-3m (No. 225); the cell edges are 6.544, 6.544 and 6.544 Å and the angles 90.00°, 90.00° and 90.00°. The asymmetric unit holds Ta at (0.000, 0.000, 0.000), W at (0.000, 0.000, 0.500) and Au at (0.250, 0.250, 0.250).

The energy above the most stable polymorph in this dataset is 1.76 eV per formula unit. For the formation energy, the calculation gives 0.512 eV per atom.

---

Record 9
CsLi4Cu3F12 | GGA-PBE | optimized geometry

The structure belongs to space group Im-3 (No. 204); the cell edges are 7.803, 7.803 and 7.803 Å and the angles 90.00°, 90.00° and 90.00°. The asymmetric unit holds Cs at (0.000, 0.000, 0.000), Li at (0.250, 0.250, 0.250), Cu at (0.000, 0.000, 0.500) and F at (0.000, 0.331, 0.172).

The value obtained for the formation energy (no corrections) is -2187 meV per atom.

---

Record 10
AcSi3Ni3 | GGA-PBE | optimized geometry

The structure belongs to space group Pm-3n (No. 223); the cell edges are 6.321, 6.321 and 6.321 Å and the angles 90.00°, 90.00° and 90.00°. The asymmetric unit holds Ac at (0.000, 0.000, 0.000), Si at (0.000, 0.250, 0.500) and Ni at (0.000, 0.500, 0.250).

The value obtained for the formation energy (no corrections) is -429 meV per atom.

---

Record 11
In2CuRu | GGA-PBE | optimized geometry

The structure belongs to space group I4/mmm (No. 139); the cell edges are 4.208, 4.208 and 7.716 Å and the angles 90.00°, 90.00° and 90.00°. The asymmetric unit holds In at (0.000, 0.500, 0.250), Cu at (0.000, 0.000, 0.000) and Ru at (0.000, 0.000, 0.500).

For the formation energy, the calculation gives 0.114 eV per atom.

---

Record 12
Sc2TlTcC | GGA-PBE | optimized geometry

The structure belongs to space group P4/mmm (No. 123); the cell edges are 4.617, 4.617 and 4.027 Å and the angles 90.00°, 90.00° and 90.00°. The asymmetric unit holds Sc at (0.000, 0.500, 0.000), Tl at (0.000, 0.000, 0.500), Tc at (0.500, 0.500, 0.500) and C at (0.500, 0.500, 0.000).

For the formation energy, the calculation gives -0.397 eV per atom.

---

| no. | total magnetic moment (μB/cell) | DOS(E_F) (states/eV/f.u.) |
| --- | --- | --- |
| 1 | 0.00 | 2.0 |
| 2 | 18.20 | 28.6 |
| 3 | 0.00 | 1.2 |
| 4 | 0.00 | 4.9 |
| 5 | 0.00 | 2.9 |
| 6 | 0.84 | 9.9 |
| 7 | 0.00 | 3.5 |
| 8 | 0.00 | 5.8 |
| 9 | 4.00 | 12.1 |
| 10 | 0.00 | 5.0 |
| 11 | 0.00 | 1.9 |
| 12 | 0.00 | 2.1 |